Entry 1:
Computed, not measured: an optimized crystal structure of Sc4Bi3N at the PBE level of DFT.

Calculated values
Total DFT energy (no corrections): -101.65 eV/cell
Mass density: 6.04 Mg/m³

abc: 5.9777 8.1533 9.2602
angles: 90.00 90.00 90.00
With the nearest neighbours (Å) after each atom.
Sites, in units of the cell vectors:
Sc: 0.1437 0.8266 0.5000  1 N 2.10
Sc: 0.0695 0.2918 0.8054  1 N 2.11
Sc: 0.5644 0.0887 0.5000  1 N 2.14
Sc: 0.0695 0.2918 0.1946  1 N 2.11
Sc: 0.5695 0.7082 0.6946  1 N 2.11
Sc: 0.6437 0.1734 0.0000  1 N 2.10
Sc: 0.5695 0.7082 0.3054  1 N 2.11
Sc: 0.0644 0.9113 0.0000  1 N 2.14
Bi: 0.5590 0.3437 0.7353  5 Sc 2.86-3.15
Bi: 0.0590 0.6563 0.7647  5 Sc 2.86-3.15
Bi: 0.0590 0.6563 0.2353  5 Sc 2.86-3.15
Bi: 0.5590 0.3437 0.2647  5 Sc 2.86-3.15
Bi: 0.5552 0.8279 0.0000  5 Sc 2.87-3.12
Bi: 0.0552 0.1721 0.5000  5 Sc 2.87-3.12
N: 0.4948 0.8319 0.5000  4 Sc 2.10-2.14
N: 0.9948 0.1681 0.0000  4 Sc 2.10-2.14


Entry 2:
Computed, not measured: an optimized crystal structure of Sb3S12I5 at the PBE level of DFT.

Calculated values
Total DFT energy (no corrections): -257.46 eV/cell
Mass density: 3.46 Mg/m³

abc: 15.1115 15.1115 15.1115
angles: 109.47 109.47 109.47
With the nearest neighbours (Å) after each atom.
Sites, in units of the cell vectors:
I: 0.3750 0.2500 0.1250  4 S 3.09
I: 0.6250 0.7500 0.8750  4 S 3.09
I: 0.5000 0.5000 0.0000  6 S 3.45
I: 0.0000 0.0000 0.5000  6 S 3.45
I: 0.5000 0.0000 0.5000  6 S 3.45
I: 0.1250 0.3750 0.2500  4 S 3.09
I: 0.3750 0.1250 0.7500  4 S 3.09
I: 0.8750 0.6250 0.7500  4 S 3.09
I: 0.0000 0.0000 0.0000  6 S 3.45
I: 0.5000 0.5000 0.5000  6 S 3.45
I: 0.0000 0.5000 0.0000  6 S 3.45
I: 0.7500 0.6250 0.3750  4 S 3.09
I: 0.2500 0.8750 0.1250  4 S 3.09
I: 0.5000 0.0000 0.0000  6 S 3.45
I: 0.2500 0.3750 0.6250  4 S 3.09
I: 0.7500 0.1250 0.8750  4 S 3.09
I: 0.1250 0.7500 0.3750  4 S 3.09
I: 0.6250 0.8750 0.2500  4 S 3.09
I: 0.0000 0.5000 0.5000  6 S 3.45
I: 0.8750 0.2500 0.6250  4 S 3.09
S: 0.0978 0.4084 0.8342  1 S 2.02
S: 0.4084 0.0978 0.3342  1 S 2.02
S: 0.7365 0.3342 0.9258  1 S 2.02
S: 0.1658 0.0742 0.7635  1 S 2.02
S: 0.5742 0.7635 0.6658  1 S 2.02
S: 0.4084 0.3106 0.5742  1 S 2.02
S: 0.3106 0.4084 0.0742  1 S 2.02
S: 0.9022 0.3106 0.2365  1 S 2.02
S: 0.6894 0.0978 0.2635  1 S 2.02
S: 0.2635 0.5978 0.6894  1 S 2.02
S: 0.7635 0.5742 0.1658  1 S 2.02
S: 0.7635 0.1894 0.0978  1 S 2.02
S: 0.0978 0.6894 0.7635  1 S 2.02
S: 0.8106 0.5742 0.9084  1 S 2.02
S: 0.8106 0.2365 0.4022  1 S 2.02
S: 0.0916 0.1658 0.4022  1 S 2.02
S: 0.5978 0.2635 0.1894  1 S 2.02
S: 0.3106 0.9022 0.7365  1 S 2.02
S: 0.4258 0.1894 0.5916  1 S 2.02
S: 0.2365 0.8106 0.9022  1 S 2.02
S: 0.5916 0.9022 0.6658  1 S 2.02
S: 0.9084 0.0742 0.8106  1 S 2.02
S: 0.2635 0.6658 0.0742  1 S 2.02
S: 0.9258 0.8342 0.7365  1 S 2.02
S: 0.3342 0.5978 0.4084  1 S 2.02
S: 0.0916 0.9258 0.1894  1 S 2.02
S: 0.5978 0.3342 0.9084  1 S 2.02
S: 0.6894 0.5916 0.9258  1 S 2.02
S: 0.9258 0.0916 0.6894  1 S 2.02
S: 0.1894 0.4258 0.0916  1 S 2.02
S: 0.5916 0.6894 0.4258  1 S 2.02
S: 0.8342 0.9084 0.0978  1 S 2.02
S: 0.1894 0.7635 0.5978  1 S 2.02
S: 0.8342 0.9258 0.2365  1 S 2.02
S: 0.7365 0.4022 0.3106  1 S 2.02
S: 0.2365 0.4258 0.8342  1 S 2.02
S: 0.6658 0.4022 0.5916  1 S 2.02
S: 0.9022 0.5916 0.1658  1 S 2.02
S: 0.0742 0.9084 0.3106  1 S 2.02
S: 0.0742 0.1658 0.2635  1 S 2.02
S: 0.6658 0.2635 0.5742  1 S 2.02
S: 0.9084 0.8342 0.5978  1 S 2.02
S: 0.4022 0.6658 0.0916  1 S 2.02
S: 0.5742 0.8106 0.4084  1 S 2.02
S: 0.1658 0.0916 0.9022  1 S 2.02
S: 0.4258 0.2365 0.3342  1 S 2.02
S: 0.3342 0.7365 0.4258  1 S 2.02
S: 0.4022 0.7365 0.8106  1 S 2.02
Sb: 0.8750 0.1250 0.2500  8 S 2.78-3.01
Sb: 0.3750 0.6250 0.2500  8 S 2.78-3.01
Sb: 0.6250 0.3750 0.7500  8 S 2.78-3.01
Sb: 0.6250 0.2500 0.3750  8 S 2.78-3.01
Sb: 0.1250 0.8750 0.7500  8 S 2.78-3.01
Sb: 0.2500 0.6250 0.8750  8 S 2.78-3.01
Sb: 0.1250 0.2500 0.8750  8 S 2.78-3.01
Sb: 0.7500 0.8750 0.6250  8 S 2.78-3.01
Sb: 0.2500 0.1250 0.3750  8 S 2.78-3.01
Sb: 0.3750 0.7500 0.6250  8 S 2.78-3.01
Sb: 0.8750 0.7500 0.1250  8 S 2.78-3.01
Sb: 0.7500 0.3750 0.1250  8 S 2.78-3.01


Entry 3:
Computed, not measured: an optimized crystal structure of TlTcNi2 at the PBE level of DFT.

Calculated values
Energy relative to the elements: 0.396 eV/atom
Total DFT energy (no corrections): -22.71 eV/cell
Mass density: 11.67 Mg/m³

abc: 4.5321 4.5321 4.9708
angles: 80.02 80.02 36.50
With the nearest neighbours (Å) after each atom.
Sites, in units of the cell vectors:
Tc: 0.4906 0.4906 0.5609  5 Ni 2.52-2.54
Tl: 0.2529 0.2529 0.2278  7 Ni 2.66-2.90, 2 Tl 2.84, 3 Tc 2.86-2.91
Ni: 0.7490 0.7490 0.7388  3 Tc 2.54, 5 Ni 2.61-2.84, 2 Tl 2.82
Ni: 0.0074 0.0074 0.9725  2 Tc 2.52, 3 Ni 2.61-2.69, 3 Tl 2.66-2.72


Question: Look up the mass density of the first one.
Answer: 6.04 Mg/m³


Question: Look up the total DFT energy (no corrections) of the third one.
Answer: -22.71 eV/cell